# 1
Computed, not measured: a geometry-optimized NaYZr2Nb structure at the PBE-GGA level of DFT.

Properties
ΔE_f = 7.87 eV/f.u.
SG = No. 123
crystal system = tetragonal
M_tot = 0.00 μB/f.u.

Cell: 5.0268 5.0692 5.0268 Å, 90.00 90.00 90.00°
With the nearest neighbours (Å) after each atom.
Fractional coordinates of all 5 atoms:
Zr: 0.5000 0.0000 0.0000  2 Na 2.51
Y: 0.0000 0.5000 0.0000  2 Na 2.53
Na: 0.0000 0.0000 0.0000  4 Zr 2.51, 2 Y 2.53
Nb: 0.5000 0.5000 0.5000  4 Y 3.55, 8 Zr 3.57
Zr: 0.0000 0.0000 0.5000  2 Na 2.51

---

# 2
Computed, not measured: a geometry-optimized NaNb3Zn structure at the PBE-GGA level of DFT.

Properties
ΔE_f = 6.99 eV/f.u.
SG = No. 221
crystal system = cubic
M_tot = 0.00 μB/f.u.

Cell: 4.8422 4.8422 4.8422 Å, 90.00 90.00 90.00°
With the nearest neighbours (Å) after each atom.
Fractional coordinates of all 5 atoms:
Nb: 0.0000 0.5000 0.0000  2 Zn 2.42
Zn: 0.0000 0.0000 0.0000  6 Nb 2.42
Na: 0.5000 0.5000 0.5000  12 Nb 3.42
Nb: 0.0000 0.0000 0.5000  2 Zn 2.42
Nb: 0.5000 0.0000 0.0000  2 Zn 2.42

---

# 3
Computed, not measured: a geometry-optimized Na3NbZn structure at the PBE-GGA level of DFT.

Properties
ΔE_f = 5.42 eV/f.u.
SG = No. 221
crystal system = cubic
M_tot = 4.26 μB/f.u.

Cell: 5.4172 5.4172 5.4172 Å, 90.00 90.00 90.00°
With the nearest neighbours (Å) after each atom.
Fractional coordinates of all 5 atoms:
Na: 0.0000 0.5000 0.0000  2 Zn 2.71
Zn: 0.0000 0.0000 0.0000  6 Na 2.71
Na: 0.5000 0.0000 0.0000  2 Zn 2.71
Nb: 0.5000 0.5000 0.5000  12 Na 3.83
Na: 0.0000 0.0000 0.5000  2 Zn 2.71

---

# 4
Computed, not measured: a geometry-optimized NaNbZn3 structure at the PBE-GGA level of DFT.

Properties
ΔE_f = 3.54 eV/f.u.
SG = No. 221
crystal system = cubic
M_tot = 2.11 μB/f.u.

Cell: 5.1565 5.1565 5.1565 Å, 90.00 90.00 90.00°
With the nearest neighbours (Å) after each atom.
Fractional coordinates of all 5 atoms:
Zn: 0.0000 0.5000 0.0000  2 Nb 2.58
Zn: 0.0000 0.0000 0.5000  2 Nb 2.58
Na: 0.5000 0.5000 0.5000  12 Zn 3.65
Zn: 0.5000 0.0000 0.0000  2 Nb 2.58
Nb: 0.0000 0.0000 0.0000  6 Zn 2.58

---

# 5
Computed, not measured: a geometry-optimized NaNb2Zn structure at the PBE-GGA level of DFT.

Properties
ΔE_f = 3.06 eV/f.u.
SG = No. 122
crystal system = tetragonal
M_tot = 0.00 μB/f.u.

Cell: 3.8391 3.8391 11.1077 Å, 80.05 80.05 90.00°
With the nearest neighbours (Å) after each atom.
Fractional coordinates of all 8 atoms:
Na: 0.5000 0.5000 0.0000  4 Zn 2.71, 4 Nb 3.03
Nb: 0.8750 0.3627 0.7500  4 Nb 2.65-2.78
Zn: 0.0000 0.0000 0.0000  4 Na 2.71, 4 Nb 3.00
Nb: 0.1127 0.1250 0.2500  4 Nb 2.65-2.78
Zn: 0.7500 0.2500 0.5000  4 Na 2.71, 4 Nb 3.00
Na: 0.2500 0.7500 0.5000  4 Zn 2.71, 4 Nb 3.03
Nb: 0.3750 0.8873 0.7500  4 Nb 2.65-2.78
Nb: 0.6373 0.6250 0.2500  4 Nb 2.65-2.78

---

# 6
Computed, not measured: a geometry-optimized NaNbZn2 structure at the PBE-GGA level of DFT.

Properties
ΔE_f = 1.62 eV/f.u.
SG = No. 225
crystal system = cubic
M_tot = 0.00 μB/f.u.

Cell: 4.6284 4.6284 4.6284 Å, 60.00 60.00 60.00°
With the nearest neighbours (Å) after each atom.
Fractional coordinates of all 4 atoms:
Nb: 0.5000 0.5000 0.5000  8 Zn 2.83
Zn: 0.7500 0.7500 0.7500  4 Nb 2.83, 4 Na 2.83
Na: 0.0000 0.0000 0.0000  8 Zn 2.83
Zn: 0.2500 0.2500 0.2500  4 Nb 2.83, 4 Na 2.83

---

# 7
Computed, not measured: a geometry-optimized NaNb2Zn2 structure at the PBE-GGA level of DFT.

Properties
ΔE_f = 1.24 eV/f.u.
SG = No. 127
crystal system = tetragonal
M_tot = 0.00 μB/f.u.

Cell: 8.4347 8.4347 2.6904 Å, 90.00 90.00 90.00°
With the nearest neighbours (Å) after each atom.
Fractional coordinates of all 10 atoms:
Nb: 0.6115 0.1115 0.0000  3 Nb 2.66-2.69, 6 Zn 2.80-2.89
Nb: 0.8885 0.6115 0.0000  3 Nb 2.66-2.69, 6 Zn 2.80-2.89
Nb: 0.1115 0.3885 0.0000  3 Nb 2.66-2.69, 6 Zn 2.80-2.89
Zn: 0.8174 0.3174 0.5000  2 Zn 2.69, 6 Nb 2.80-2.89
Zn: 0.6826 0.8174 0.5000  2 Zn 2.69, 6 Nb 2.80-2.89
Zn: 0.1826 0.6826 0.5000  2 Zn 2.69, 6 Nb 2.80-2.89
Na: 0.5000 0.5000 0.0000  2 Na 2.69
Zn: 0.3174 0.1826 0.5000  2 Zn 2.69, 6 Nb 2.80-2.89
Nb: 0.3885 0.8885 0.0000  3 Nb 2.66-2.69, 6 Zn 2.80-2.89
Na: 0.0000 0.0000 0.0000  2 Na 2.69

---

# 8
Computed, not measured: a geometry-optimized Na3NbZn structure at the PBE-GGA level of DFT.

Properties
ΔE_f = 6.44 eV/f.u.
SG = No. 221
crystal system = cubic
M_tot = 5.72 μB/f.u.

Cell: 6.0733 6.0733 6.0733 Å, 90.00 90.00 90.00°
With the nearest neighbours (Å) after each atom.
Fractional coordinates of all 5 atoms:
Zn: 0.5000 0.5000 0.5000  12 Na 4.29
Na: 0.0000 0.0000 0.5000  2 Nb 3.04
Na: 0.0000 0.5000 0.0000  2 Nb 3.04
Na: 0.5000 0.0000 0.0000  2 Nb 3.04
Nb: 0.0000 0.0000 0.0000  6 Na 3.04

---

# 9
Computed, not measured: a geometry-optimized NaNbZn2 structure at the PBE-GGA level of DFT.

Properties
ΔE_f = 2.70 eV/f.u.
SG = No. 122
crystal system = tetragonal
M_tot = 0.00 μB/f.u.

Cell: 7.1996 7.1996 5.9397 Å, 52.70 52.70 90.00°
With the nearest neighbours (Å) after each atom.
Fractional coordinates of all 8 atoms:
Zn: 0.6338 0.1250 0.2500  2 Nb 2.62, 2 Na 2.70
Zn: 0.3750 0.3662 0.7500  2 Nb 2.62, 2 Na 2.70
Na: 0.5000 0.5000 0.0000  4 Zn 2.70
Na: 0.2500 0.7500 0.5000  4 Zn 2.70
Zn: 0.8750 0.8838 0.7500  2 Nb 2.62, 2 Na 2.70
Nb: 0.7500 0.2500 0.5000  4 Zn 2.62
Nb: 0.0000 0.0000 0.0000  4 Zn 2.62
Zn: 0.1162 0.6250 0.2500  2 Nb 2.62, 2 Na 2.70

---

# 10
Computed, not measured: a geometry-optimized NaNb2Zn2 structure at the PBE-GGA level of DFT.

Properties
ΔE_f = 1.26 eV/f.u.
SG = No. 127
crystal system = tetragonal
M_tot = 0.00 μB/f.u.

Cell: 8.4531 8.4531 2.6813 Å, 90.00 90.00 90.00°
With the nearest neighbours (Å) after each atom.
Fractional coordinates of all 10 atoms:
Na: 0.5000 0.5000 0.0000  2 Na 2.68
Nb: 0.8874 0.3874 0.5000  3 Nb 2.68-2.69, 6 Zn 2.80-2.88
Zn: 0.3185 0.8185 0.0000  2 Zn 2.68, 6 Nb 2.80-2.88
Nb: 0.6126 0.8874 0.5000  3 Nb 2.68-2.69, 6 Zn 2.80-2.88
Nb: 0.3874 0.1126 0.5000  3 Nb 2.68-2.69, 6 Zn 2.80-2.88
Zn: 0.6815 0.1815 0.0000  2 Zn 2.68, 6 Nb 2.80-2.88
Zn: 0.8185 0.6815 0.0000  2 Zn 2.68, 6 Nb 2.80-2.88
Na: 0.0000 0.0000 0.0000  2 Na 2.68
Nb: 0.1126 0.6126 0.5000  3 Nb 2.68-2.69, 6 Zn 2.80-2.88
Zn: 0.1815 0.3185 0.0000  2 Zn 2.68, 6 Nb 2.80-2.88

---

# 11
Computed, not measured: a geometry-optimized NaNb3Zn structure at the PBE-GGA level of DFT.

Properties
ΔE_f = 10.23 eV/f.u.
SG = No. 221
crystal system = cubic
M_tot = 0.00 μB/f.u.

Cell: 4.6739 4.6739 4.6739 Å, 90.00 90.00 90.00°
With the nearest neighbours (Å) after each atom.
Fractional coordinates of all 5 atoms:
Zn: 0.5000 0.5000 0.5000  12 Nb 3.30
Nb: 0.0000 0.0000 0.5000  2 Na 2.34
Nb: 0.5000 0.0000 0.0000  2 Na 2.34
Na: 0.0000 0.0000 0.0000  6 Nb 2.34
Nb: 0.0000 0.5000 0.0000  2 Na 2.34

---

# 12
Computed, not measured: a geometry-optimized Na2NbZn structure at the PBE-GGA level of DFT.

Properties
ΔE_f = 3.86 eV/f.u.
SG = No. 122
crystal system = tetragonal
M_tot = 3.44 μB/f.u.

Cell: 8.4495 8.4495 6.6014 Å, 50.21 50.21 90.00°
With the nearest neighbours (Å) after each atom.
Fractional coordinates of all 8 atoms:
Nb: 0.0000 0.0000 0.0000  2 Zn 2.81
Zn: 0.2500 0.7500 0.5000  2 Nb 2.81, 4 Na 2.86
Nb: 0.7500 0.2500 0.5000  2 Zn 2.81
Zn: 0.5000 0.5000 0.0000  2 Nb 2.81, 4 Na 2.86
Na: 0.3750 0.4130 0.7500  2 Zn 2.86, 2 Na 2.88
Na: 0.1630 0.6250 0.2500  2 Zn 2.86, 2 Na 2.88
Na: 0.5870 0.1250 0.2500  2 Zn 2.86, 2 Na 2.88
Na: 0.8750 0.8370 0.7500  2 Zn 2.86, 2 Na 2.88

---

# 13
Computed, not measured: a geometry-optimized NaZrNb3 structure at the PBE-GGA level of DFT.

Properties
ΔE_f = 8.20 eV/f.u.
SG = No. 221
crystal system = cubic
M_tot = 0.00 μB/f.u.

Cell: 5.0242 5.0242 5.0242 Å, 90.00 90.00 90.00°
With the nearest neighbours (Å) after each atom.
Fractional coordinates of all 5 atoms:
Na: 0.5000 0.5000 0.5000  12 Nb 3.55
Nb: 0.0000 0.5000 0.0000  2 Zr 2.51
Zr: 0.0000 0.0000 0.0000  6 Nb 2.51
Nb: 0.0000 0.0000 0.5000  2 Zr 2.51
Nb: 0.5000 0.0000 0.0000  2 Zr 2.51

---

# 14
Computed, not measured: a geometry-optimized Na3ZrNb structure at the PBE-GGA level of DFT.

Properties
ΔE_f = 10.99 eV/f.u.
SG = No. 221
crystal system = cubic
M_tot = 0.00 μB/f.u.

Cell: 5.2644 5.2644 5.2644 Å, 90.00 90.00 90.00°
With the nearest neighbours (Å) after each atom.
Fractional coordinates of all 5 atoms:
Na: 0.5000 0.0000 0.0000  2 Zr 2.63
Na: 0.0000 0.5000 0.0000  2 Zr 2.63
Nb: 0.5000 0.5000 0.5000  12 Na 3.72
Na: 0.0000 0.0000 0.5000  2 Zr 2.63
Zr: 0.0000 0.0000 0.0000  6 Na 2.63